Entry 1:
10
Lattice="4.279 0.000 0.000 0.000 4.279 0.000 0.000 0.000 9.783" Properties=species:S:1:pos:R:3 comment="PBE Pu2Be3ZnAu4, relaxed" dft_energy_ev_per_atom=-5.672 rho_g_cm3=12.7 volume_a3_per_cell=179.1 e_form_ev_per_atom=-0.249 magnetic_moment_mub_per_atom=1.17 space_group="P-4m2, No. 115" pbc="T T T"
Au 0.000 0.000 0.000
Au 0.000 2.140 3.480
Au 2.140 0.000 6.303
Au 2.140 2.140 0.000
Be 0.000 0.000 4.891
Be 0.000 2.140 1.128
Be 2.140 0.000 8.655
Pu 0.000 2.140 7.348
Pu 2.140 0.000 2.435
Zn 2.140 2.140 4.891

---

Entry 2:
5
Lattice="6.304 0.000 0.000 0.000 6.304 0.000 0.000 0.000 6.304" Properties=species:S:1:pos:R:3 comment="PBE RbBe3Au, relaxed" dft_energy_ev_per_atom=-0.701 rho_g_cm3=2.1 volume_a3_per_cell=250.5 e_form_ev_per_atom=2.383 magnetic_moment_mub_per_atom=0.00 de_polymorph_mev_per_atom=1945.5 space_group="Pm-3m, No. 221" pbc="T T T"
Be 0.000 0.000 3.152
Be 3.152 0.000 0.000
Be 0.000 3.152 0.000
Rb 0.000 0.000 0.000
Au 3.152 3.152 3.152

---

Entry 3:
10
Lattice="10.102 0.000 0.000 0.000 10.102 0.000 0.000 0.000 3.058" Properties=species:S:1:pos:R:3 comment="PBE Rb2Be2Au, relaxed" dft_energy_ev_per_atom=-1.589 rho_g_cm3=4.1 volume_a3_per_cell=312.1 e_form_ev_per_atom=0.944 magnetic_moment_mub_per_atom=0.00 de_polymorph_mev_per_atom=405.3 space_group="P4/mbm, No. 127" pbc="T T T"
Rb 7.981 7.173 0.000
Rb 2.122 2.930 0.000
Rb 2.930 7.981 0.000
Rb 7.173 2.122 0.000
Be 5.783 9.371 1.529
Be 9.371 4.320 1.529
Be 4.320 0.732 1.529
Be 0.732 5.783 1.529
Au 0.000 0.000 0.000
Au 5.051 5.051 0.000